Record 1
RbSrSi3: optimized geometry, GGA-PBE.

Summary:
**Polymorph energy (0 for the lowest one)**: 0.325 eV/atom
**SG**: Pm-3m, No. 221
**Total energy**: -2.3062 eV/atom
**Mass density**: 2.5 Mg/m³
**Formation energy from raw total energies**: 1.48 eV per atom

Structure (POSCAR):
```
RbSrSi3
1.0
-0.366 -4.417 -3.330
4.494 -2.183 2.402
-3.225 -2.541 3.725
Sr Si Rb
1 3 1
direct
0.500 0.500 0.500
0.000 0.500 0.000
0.000 0.000 0.500
0.500 0.000 0.000
0.000 0.000 0.000
```

---

Record 2
RbSrSi4: optimized geometry, GGA-PBE.

Summary:
**SG**: Cmmm, No. 65
**Total energy**: -3.9615 eV/atom
**Mass density**: 3.0 Mg/m³
**Formation energy from raw total energies**: 0.10 eV per atom

Structure (POSCAR):
```
RbSrSi4
1.0
-4.990 1.853 -0.867
-2.984 -5.931 4.493
1.691 6.559 4.288
Rb Sr Si
2 2 8
direct
0.000 0.809 0.809
0.000 0.191 0.191
0.000 0.274 0.726
0.000 0.726 0.274
0.500 0.913 0.595
0.500 0.087 0.405
0.500 0.595 0.913
0.500 0.405 0.087
0.500 0.373 0.373
0.500 0.627 0.627
0.500 0.091 0.909
0.500 0.909 0.091
```

---

Record 3
Rb2SrSi2: optimized geometry, GGA-PBE.

Summary:
**SG**: P4/mbm, No. 127
**Total energy**: -2.7616 eV/atom
**Mass density**: 2.6 Mg/m³
**Formation energy from raw total energies**: 0.13 eV per atom

Structure (POSCAR):
```
Rb2SrSi2
1.0
-3.670 3.094 -6.643
3.391 -5.870 -4.607
-4.674 -3.461 0.970
Sr Si Rb
2 4 4
direct
0.000 0.000 0.000
0.500 0.500 0.000
0.403 0.903 0.000
0.903 0.597 0.000
0.597 0.097 0.000
0.097 0.403 0.000
0.179 0.679 0.500
0.679 0.821 0.500
0.821 0.321 0.500
0.321 0.179 0.500
```

---

Record 4
RbSrSi2: optimized geometry, GGA-PBE.

Summary:
**Polymorph energy (0 for the lowest one)**: 0.220 eV/atom
**SG**: I-42d, No. 122
**Total energy**: -2.7417 eV/atom
**Mass density**: 3.1 Mg/m³
**Formation energy from raw total energies**: 0.63 eV per atom

Structure (POSCAR):
```
RbSrSi2
1.0
-7.394 0.819 5.187
-3.401 -7.573 -3.652
-4.076 -5.002 2.908
Sr Si Rb
2 4 2
direct
0.000 0.000 0.000
0.750 0.250 0.500
0.640 0.125 0.250
0.110 0.625 0.250
0.375 0.360 0.750
0.875 0.890 0.750
0.500 0.500 0.000
0.250 0.750 0.500
```

---

Record 5
RbSrSi3: optimized geometry, GGA-PBE.

Summary:
**Polymorph energy (0 for the lowest one)**: 0.000 eV/atom
**SG**: Pm-3m, No. 221
**Total energy**: -2.6313 eV/atom
**Mass density**: 2.2 Mg/m³
**Formation energy from raw total energies**: 1.15 eV per atom

Structure (POSCAR):
```
RbSrSi3
1.0
5.780 0.000 0.000
0.000 5.780 0.000
0.000 0.000 5.780
Sr Si Rb
1 3 1
direct
0.000 0.000 0.000
0.000 0.500 0.000
0.000 0.000 0.500
0.500 0.000 0.000
0.500 0.500 0.500
```

---

Record 6
Rb2SrSiTe4: optimized geometry, GGA-PBE.

Summary:
**SG**: Imma, No. 74
**Total energy**: -3.3426 eV/atom
**Mass density**: 4.4 Mg/m³
**Formation energy from raw total energies**: -0.64 eV per atom

Structure (POSCAR):
```
Rb2SrSiTe4
1.0
-8.784 0.855 -3.619
-2.661 -7.893 4.648
5.148 7.914 4.561
Rb Sr Si Te
4 2 2 8
direct
0.500 0.000 0.000
0.500 0.000 0.500
0.000 0.000 0.500
0.500 0.500 0.000
0.000 0.500 0.000
0.000 0.500 0.500
0.500 0.500 0.500
0.000 0.000 0.000
0.200 0.770 0.985
0.730 0.300 0.515
0.270 0.699 0.485
0.801 0.230 0.015
0.755 0.745 0.935
0.755 0.745 0.565
0.245 0.255 0.435
0.245 0.255 0.065
```